Computed, not measured: a geometry-optimized KVB2O structure at the PBE+U level of DFT.

The structure in POSCAR format:
```
KVB2O
1.0
4.091 0.000 0.000
0.000 4.091 0.000
0.000 0.000 7.923
K V B O
1 1 2 1
Direct
0.000 0.000 0.000 K
0.000 0.000 0.500 V
0.000 0.500 0.500 B
0.500 0.000 0.500 B
0.500 0.500 0.000 O
```

Total DFT energy (no corrections)   -18.62 eV for the cell shown
Magnetic moment   1.64 μB/f.u.
Crystal system   tetragonal